(1)
# MgCd2Fe (PBE, relaxed)
data_MgCd2Fe
_chemical_formula_sum 'Mg1 Cd2 Fe1'
_cell_length_a 4.704
_cell_length_b 4.704
_cell_length_c 4.704
_cell_angle_alpha 60.00
_cell_angle_beta 60.00
_cell_angle_gamma 60.00
_space_group_name_H-M_alt 'P 1'
_space_group_IT_number 1
_space_group_name_Hall 'P 1'
loop_
_atom_site_label
_atom_site_type_symbol
_atom_site_fract_x
_atom_site_fract_y
_atom_site_fract_z
Cd1 Cd 0.000 0.000 0.000
Cd2 Cd 0.750 0.750 0.750
Fe1 Fe 0.500 0.500 0.500
Mg1 Mg 0.250 0.250 0.250
# - space group = F-43m (216)
# - uncorrected energy (eV/atom) = -2.715



(2)
# Y2NiIrN (PBE, relaxed)
data_Y2NiIrN
_chemical_formula_sum 'Y2 Ni1 Ir1 N1'
_cell_length_a 4.869
_cell_length_b 4.869
_cell_length_c 3.596
_cell_angle_alpha 90.00
_cell_angle_beta 90.00
_cell_angle_gamma 90.00
_space_group_name_H-M_alt 'P 1'
_space_group_IT_number 1
_space_group_name_Hall 'P 1'
loop_
_atom_site_label
_atom_site_type_symbol
_atom_site_fract_x
_atom_site_fract_y
_atom_site_fract_z
Y1 Y 0.000 0.500 0.000
Y2 Y 0.500 0.000 0.000
Ni1 Ni 0.000 0.000 0.500
Ir1 Ir 0.500 0.500 0.500
N1 N 0.000 0.000 0.000
# - space group = P4/mmm (123)
# - E_form (uncorrected) (eV per atom) = -0.840



(3)
# Dy2Y6Ho3Zr (PBE, relaxed)
data_Dy2Y6Ho3Zr
_chemical_formula_sum 'Dy2 Y6 Ho3 Zr1'
_cell_length_a 6.091
_cell_length_b 6.091
_cell_length_c 11.657
_cell_angle_alpha 94.97
_cell_angle_beta 94.97
_cell_angle_gamma 119.91
_space_group_name_H-M_alt 'P 1'
_space_group_IT_number 1
_space_group_name_Hall 'P 1'
loop_
_atom_site_label
_atom_site_type_symbol
_atom_site_fract_x
_atom_site_fract_y
_atom_site_fract_z
Dy1 Dy 0.333 0.667 0.000
Dy2 Dy 0.667 0.333 0.000
Y1 Y 0.918 0.591 0.755
Y2 Y 0.755 0.755 0.245
Y3 Y 0.082 0.409 0.245
Y4 Y 0.591 0.918 0.755
Y5 Y 0.245 0.245 0.755
Y6 Y 0.409 0.082 0.245
Ho1 Ho 0.167 0.833 0.500
Ho2 Ho 0.833 0.167 0.500
Ho3 Ho 0.500 0.500 0.500
Zr1 Zr 0.000 0.000 0.000
# - space group = C2/m (12)
# - uncorrected energy (eV/atom) = -5.806



(4)
# Sm2Be3Ge4Rh (PBE, relaxed)
data_Sm2Be3Ge4Rh
_chemical_formula_sum 'Sm2 Be3 Ge4 Rh1'
_cell_length_a 4.074
_cell_length_b 4.074
_cell_length_c 10.003
_cell_angle_alpha 90.00
_cell_angle_beta 90.00
_cell_angle_gamma 90.00
_space_group_name_H-M_alt 'P 1'
_space_group_IT_number 1
_space_group_name_Hall 'P 1'
loop_
_atom_site_label
_atom_site_type_symbol
_atom_site_fract_x
_atom_site_fract_y
_atom_site_fract_z
Sm1 Sm 0.500 0.000 0.247
Sm2 Sm 0.000 0.500 0.753
Be1 Be 0.000 0.000 0.500
Be2 Be 0.500 0.000 0.869
Be3 Be 0.000 0.500 0.131
Ge1 Ge 0.500 0.500 0.000
Ge2 Ge 0.000 0.000 0.000
Ge3 Ge 0.500 0.000 0.639
Ge4 Ge 0.000 0.500 0.361
Rh1 Rh 0.500 0.500 0.500
# - space group = P-4m2 (115)
# - uncorrected energy (eV/atom) = -5.125



(5)
# CeNiAs2Rh5 (PBE, relaxed)
data_CeNiAs2Rh5
_chemical_formula_sum 'Ce1 Ni1 As2 Rh5'
_cell_length_a 4.112
_cell_length_b 4.112
_cell_length_c 8.951
_cell_angle_alpha 90.00
_cell_angle_beta 90.00
_cell_angle_gamma 90.00
_space_group_name_H-M_alt 'P 1'
_space_group_IT_number 1
_space_group_name_Hall 'P 1'
loop_
_atom_site_label
_atom_site_type_symbol
_atom_site_fract_x
_atom_site_fract_y
_atom_site_fract_z
Ce1 Ce 0.000 0.000 0.500
Ni1 Ni 0.000 0.000 0.000
As1 As 0.500 0.500 0.133
As2 As 0.500 0.500 0.867
Rh1 Rh 0.000 0.500 0.735
Rh2 Rh 0.500 0.000 0.735
Rh3 Rh 0.000 0.500 0.265
Rh4 Rh 0.500 0.000 0.265
Rh5 Rh 0.500 0.500 0.500
# - space group = P4/mmm (123)
# - uncorrected energy (eV/atom) = -6.713



(6)
# LiCaPd2 (PBE, relaxed)
data_LiCaPd2
_chemical_formula_sum 'Li1 Ca1 Pd2'
_cell_length_a 4.353
_cell_length_b 4.353
_cell_length_c 4.895
_cell_angle_alpha 116.41
_cell_angle_beta 116.42
_cell_angle_gamma 89.99
_space_group_name_H-M_alt 'P 1'
_space_group_IT_number 1
_space_group_name_Hall 'P 1'
loop_
_atom_site_label
_atom_site_type_symbol
_atom_site_fract_x
_atom_site_fract_y
_atom_site_fract_z
Li1 Li 0.500 0.000 0.000
Ca1 Ca 0.000 0.500 0.000
Pd1 Pd 0.750 0.750 0.500
Pd2 Pd 0.250 0.250 0.500
# - space group = I4/mmm (139)
# - uncorrected energy (eV/atom) = -4.080



| no. | magnetization (Bohr magnetons per cell) |
| --- | --- |
| 1 | 2.4 |
| 2 | 0.0 |
| 3 | 0.0 |
| 4 | 0.0 |
| 5 | 0.8 |
| 6 | 0.0 |